# Tb2EuDy | Alexandria via LeMat-Bulk | PBE | relaxed
# Space group: No. 225
# Energy above the most stable polymorph in this dataset (eV/f.u.): 0.44
# Total magnetic moment (μB/cell): 8.2
# Energy of formation from the pure elements (eV/atom): 0.163
data_Tb2EuDy
_cell_length_a 5.7516
_cell_length_b 5.7516
_cell_length_c 5.7516
_cell_angle_alpha 60.00
_cell_angle_beta 60.00
_cell_angle_gamma 60.00
_symmetry_space_group_name_H-M 'P 1'
_symmetry_Int_Tables_number 1
loop_
_symmetry_equiv_pos_as_xyz
'x,y,z'
loop_
_atom_site_label
_atom_site_type_symbol
_atom_site_fract_x
_atom_site_fract_y
_atom_site_fract_z
Eu1 Eu 0.0000 0.0000 0.0000
Tb1 Tb 0.2500 0.2500 0.2500
Tb2 Tb 0.7500 0.7500 0.7500
Dy1 Dy 0.5000 0.5000 0.5000

***

# ZrCoRh2 | Alexandria via LeMat-Bulk | PBE | relaxed
# Space group: No. 12
# Total magnetic moment (μB/cell): 1.5
# Energy of formation from the pure elements (eV/atom): -0.272
data_ZrCoRh2
_cell_length_a 4.7361
_cell_length_b 4.7361
_cell_length_c 4.6907
_cell_angle_alpha 77.24
_cell_angle_beta 77.24
_cell_angle_gamma 36.54
_symmetry_space_group_name_H-M 'P 1'
_symmetry_Int_Tables_number 1
loop_
_symmetry_equiv_pos_as_xyz
'x,y,z'
loop_
_atom_site_label
_atom_site_type_symbol
_atom_site_fract_x
_atom_site_fract_y
_atom_site_fract_z
Co1 Co 0.7500 0.7500 0.7500
Rh1 Rh 0.0079 0.0079 0.9787
Rh2 Rh 0.4921 0.4921 0.5213
Zr1 Zr 0.2500 0.2500 0.2500

***

# SrZn2Si2 | Alexandria via LeMat-Bulk | PBE | relaxed
# Space group: No. 129
# Total magnetic moment (μB/cell): 0.0
# Formation energy (no corrections) (meV/atom): -276
data_SrZn2Si2
_cell_length_a 4.2909
_cell_length_b 4.2909
_cell_length_c 10.5860
_cell_angle_alpha 90.00
_cell_angle_beta 90.00
_cell_angle_gamma 90.00
_symmetry_space_group_name_H-M 'P 1'
_symmetry_Int_Tables_number 1
loop_
_symmetry_equiv_pos_as_xyz
'x,y,z'
loop_
_atom_site_label
_atom_site_type_symbol
_atom_site_fract_x
_atom_site_fract_y
_atom_site_fract_z
Sr1 Sr 0.5000 0.0000 0.2508
Sr2 Sr 0.0000 0.5000 0.7492
Zn1 Zn 0.0000 0.5000 0.3679
Zn2 Zn 0.5000 0.0000 0.6321
Zn3 Zn 0.5000 0.5000 0.0000
Zn4 Zn 0.0000 0.0000 0.0000
Si1 Si 0.5000 0.5000 0.5000
Si2 Si 0.0000 0.0000 0.5000
Si3 Si 0.0000 0.5000 0.1339
Si4 Si 0.5000 0.0000 0.8661

***

# Nd4Tm4In | Alexandria via LeMat-Bulk | PBE | relaxed
# Space group: No. 139
# Total magnetic moment (μB/cell): 0.0
# Energy of formation from the pure elements (eV/atom): -0.068
data_Nd4Tm4In
_cell_length_a 4.9191
_cell_length_b 7.9576
_cell_length_c 7.9576
_cell_angle_alpha 84.52
_cell_angle_beta 72.00
_cell_angle_gamma 72.00
_symmetry_space_group_name_H-M 'P 1'
_symmetry_Int_Tables_number 1
loop_
_symmetry_equiv_pos_as_xyz
'x,y,z'
loop_
_atom_site_label
_atom_site_type_symbol
_atom_site_fract_x
_atom_site_fract_y
_atom_site_fract_z
Nd1 Nd 0.6618 0.6763 0.0001
Nd2 Nd 0.3382 0.3237 0.9999
Nd3 Nd 0.6619 0.9999 0.6763
Nd4 Nd 0.3381 0.0001 0.3237
Tm1 Tm 0.6631 0.3368 0.3369
Tm2 Tm 0.3369 0.6632 0.6631
Tm3 Tm 0.0000 0.6631 0.3368
Tm4 Tm 0.0000 0.3369 0.6632
In1 In 0.0000 0.0000 0.0000

***

# Ag3HgF4 | Alexandria via LeMat-Bulk | PBE | relaxed
# Space group: No. 121
# Energy above the most stable polymorph in this dataset (eV/f.u.): 0.36
# Total magnetic moment (μB/cell): 0.0
# Formation energy (no corrections) (meV/atom): -936
data_Ag3HgF4
_cell_length_a 6.4722
_cell_length_b 6.4722
_cell_length_c 5.5304
_cell_angle_alpha 125.81
_cell_angle_beta 125.81
_cell_angle_gamma 90.00
_symmetry_space_group_name_H-M 'P 1'
_symmetry_Int_Tables_number 1
loop_
_symmetry_equiv_pos_as_xyz
'x,y,z'
loop_
_atom_site_label
_atom_site_type_symbol
_atom_site_fract_x
_atom_site_fract_y
_atom_site_fract_z
Ag1 Ag 0.5000 0.5000 0.0000
Ag2 Ag 0.7500 0.2500 0.5000
Ag3 Ag 0.2500 0.7500 0.5000
Hg1 Hg 0.0000 0.0000 0.0000
F1 F 0.3776 0.3776 0.2464
F2 F 0.8688 0.8688 0.2464
F3 F 0.1312 0.6224 0.7536
F4 F 0.6224 0.1312 0.7536

***

# Na3Np2CrS6 | Alexandria via LeMat-Bulk | PBE | relaxed
# Space group: No. 12
# Total magnetic moment (μB/cell): 11.0
# Formation energy (no corrections) (meV/atom): -1199
data_Na3Np2CrS6
_cell_length_a 6.7169
_cell_length_b 6.7169
_cell_length_c 7.0263
_cell_angle_alpha 99.15
_cell_angle_beta 99.15
_cell_angle_gamma 120.04
_symmetry_space_group_name_H-M 'P 1'
_symmetry_Int_Tables_number 1
loop_
_symmetry_equiv_pos_as_xyz
'x,y,z'
loop_
_atom_site_label
_atom_site_type_symbol
_atom_site_fract_x
_atom_site_fract_y
_atom_site_fract_z
Na1 Na 0.1660 0.8340 0.5000
Na2 Na 0.8340 0.1660 0.5000
Na3 Na 0.5000 0.5000 0.5000
Np1 Np 0.3332 0.6668 0.0000
Np2 Np 0.6668 0.3332 0.0000
Cr1 Cr 0.0000 0.0000 0.0000
S1 S 0.9262 0.6068 0.7787
S2 S 0.7546 0.7546 0.2191
S3 S 0.0738 0.3932 0.2213
S4 S 0.6068 0.9262 0.7787
S5 S 0.2454 0.2454 0.7809
S6 S 0.3932 0.0738 0.2213

***

# Ho2AgBr8 | Alexandria via LeMat-Bulk | PBE | relaxed
# Space group: No. 12
# Total magnetic moment (μB/cell): 0.9
# Formation energy (no corrections) (meV/atom): -1248
data_Ho2AgBr8
_cell_length_a 7.5875
_cell_length_b 8.2704
_cell_length_c 8.2704
_cell_angle_alpha 71.41
_cell_angle_beta 89.95
_cell_angle_gamma 89.95
_symmetry_space_group_name_H-M 'P 1'
_symmetry_Int_Tables_number 1
loop_
_symmetry_equiv_pos_as_xyz
'x,y,z'
loop_
_atom_site_label
_atom_site_type_symbol
_atom_site_fract_x
_atom_site_fract_y
_atom_site_fract_z
Ho1 Ho 0.6703 0.2006 0.2006
Ho2 Ho 0.3297 0.7994 0.7994
Ag1 Ag 0.0000 0.0000 0.0000
Br1 Br 0.1511 0.0993 0.6947
Br2 Br 0.1511 0.6947 0.0993
Br3 Br 0.8489 0.9007 0.3053
Br4 Br 0.2699 0.6113 0.6113
Br5 Br 0.8489 0.3053 0.9007
Br6 Br 0.3282 0.1679 0.1679
Br7 Br 0.6718 0.8321 0.8321
Br8 Br 0.7301 0.3887 0.3887

***

# GdCuSnPt | Alexandria via LeMat-Bulk | PBE | relaxed
# Space group: No. 216
# Total magnetic moment (μB/cell): 7.1
# Energy of formation from the pure elements (eV/atom): -0.653
data_GdCuSnPt
_cell_length_a 4.7979
_cell_length_b 4.7979
_cell_length_c 4.7979
_cell_angle_alpha 60.00
_cell_angle_beta 60.00
_cell_angle_gamma 60.00
_symmetry_space_group_name_H-M 'P 1'
_symmetry_Int_Tables_number 1
loop_
_symmetry_equiv_pos_as_xyz
'x,y,z'
loop_
_atom_site_label
_atom_site_type_symbol
_atom_site_fract_x
_atom_site_fract_y
_atom_site_fract_z
Gd1 Gd 0.5000 0.5000 0.5000
Sn1 Sn 0.0000 0.0000 0.0000
Pt1 Pt 0.7500 0.7500 0.7500
Cu1 Cu 0.2500 0.2500 0.2500

***

# Th2MgCo | Alexandria via LeMat-Bulk | PBE | relaxed
# Space group: No. 160
# Energy above the most stable polymorph in this dataset (eV/f.u.): 0.00
# Total magnetic moment (μB/cell): 0.0
# Energy of formation from the pure elements (eV/atom): -0.043
data_Th2MgCo
_cell_length_a 3.8385
_cell_length_b 3.8385
_cell_length_c 9.0309
_cell_angle_alpha 77.73
_cell_angle_beta 77.73
_cell_angle_gamma 60.00
_symmetry_space_group_name_H-M 'P 1'
_symmetry_Int_Tables_number 1
loop_
_symmetry_equiv_pos_as_xyz
'x,y,z'
loop_
_atom_site_label
_atom_site_type_symbol
_atom_site_fract_x
_atom_site_fract_y
_atom_site_fract_z
Th1 Th 0.0600 0.0600 0.8201
Th2 Th 0.2734 0.2734 0.1799
Mg1 Mg 0.4993 0.4993 0.5022
Co1 Co 0.6674 0.6674 0.9978

***

# InNi4Ag | Alexandria via LeMat-Bulk | PBE | relaxed
# Space group: No. 216
# Total magnetic moment (μB/cell): 1.8
# Energy of formation from the pure elements (eV/atom): 0.032
data_InNi4Ag
_cell_length_a 4.8679
_cell_length_b 4.8679
_cell_length_c 4.8679
_cell_angle_alpha 60.00
_cell_angle_beta 60.00
_cell_angle_gamma 60.00
_symmetry_space_group_name_H-M 'P 1'
_symmetry_Int_Tables_number 1
loop_
_symmetry_equiv_pos_as_xyz
'x,y,z'
loop_
_atom_site_label
_atom_site_type_symbol
_atom_site_fract_x
_atom_site_fract_y
_atom_site_fract_z
Ag1 Ag 0.2500 0.2500 0.2500
In1 In 0.0000 0.0000 0.0000
Ni1 Ni 0.1252 0.6249 0.6249
Ni2 Ni 0.6249 0.6249 0.6249
Ni3 Ni 0.6249 0.1252 0.6249
Ni4 Ni 0.6249 0.6249 0.1252

***

# Al2GaPt9 | Alexandria via LeMat-Bulk | PBE | relaxed
# Space group: No. 123
# Total magnetic moment (μB/cell): 0.0
# Energy of formation from the pure elements (eV/atom): -0.616
data_Al2GaPt9
_cell_length_a 3.9294
_cell_length_b 3.9294
_cell_length_c 11.7912
_cell_angle_alpha 90.00
_cell_angle_beta 90.00
_cell_angle_gamma 90.00
_symmetry_space_group_name_H-M 'P 1'
_symmetry_Int_Tables_number 1
loop_
_symmetry_equiv_pos_as_xyz
'x,y,z'
loop_
_atom_site_label
_atom_site_type_symbol
_atom_site_fract_x
_atom_site_fract_y
_atom_site_fract_z
Al1 Al 0.0000 0.0000 0.3333
Al2 Al 0.0000 0.0000 0.6667
Ga1 Ga 0.0000 0.0000 0.0000
Pt1 Pt 0.5000 0.5000 0.0000
Pt2 Pt 0.5000 0.5000 0.3346
Pt3 Pt 0.5000 0.5000 0.6654
Pt4 Pt 0.5000 0.0000 0.1696
Pt5 Pt 0.5000 0.0000 0.5000
Pt6 Pt 0.5000 0.0000 0.8304
Pt7 Pt 0.0000 0.5000 0.1696
Pt8 Pt 0.0000 0.5000 0.5000
Pt9 Pt 0.0000 0.5000 0.8304

***

# NpGaSb3 | Alexandria via LeMat-Bulk | PBE | relaxed
# Space group: No. 57
# Total magnetic moment (μB/cell): 14.7
# Formation energy (no corrections) (meV/atom): -97
data_NpGaSb3
_cell_length_a 6.3436
_cell_length_b 6.1583
_cell_length_c 12.8831
_cell_angle_alpha 90.00
_cell_angle_beta 90.00
_cell_angle_gamma 90.00
_symmetry_space_group_name_H-M 'P 1'
_symmetry_Int_Tables_number 1
loop_
_symmetry_equiv_pos_as_xyz
'x,y,z'
loop_
_atom_site_label
_atom_site_type_symbol
_atom_site_fract_x
_atom_site_fract_y
_atom_site_fract_z
Np1 Np 0.7500 0.5086 0.6917
Np2 Np 0.2500 0.4914 0.3083
Np3 Np 0.7500 0.0086 0.3083
Np4 Np 0.2500 0.9914 0.6917
Ga1 Ga 0.5000 0.2500 0.1188
Ga2 Ga 0.0000 0.7500 0.8812
Ga3 Ga 0.5000 0.7500 0.8812
Ga4 Ga 0.0000 0.2500 0.1188
Sb1 Sb 0.0000 0.2500 0.5001
Sb2 Sb 0.5000 0.7500 0.4999
Sb3 Sb 0.0000 0.7500 0.4999
Sb4 Sb 0.5000 0.2500 0.5001
Sb5 Sb 0.2500 0.1295 0.9291
Sb6 Sb 0.7500 0.8705 0.0709
Sb7 Sb 0.2500 0.6295 0.0709
Sb8 Sb 0.7500 0.3705 0.9291
Sb9 Sb 0.2500 0.4885 0.7256
Sb10 Sb 0.7500 0.5115 0.2744
Sb11 Sb 0.2500 0.9885 0.2744
Sb12 Sb 0.7500 0.0115 0.7256